Co2TePb PBE relaxed; size of the total moment = 2.2 Bohr magnetons per cell; E above lowest polymorph = 1.548 eV/f.u.; E_form (uncorrected) = 0.512 eV/atom; density of states at the Fermi level = 1.042 states/eV per atom; V = 71.8 Å³/cell
1.0
3.328 0.000 0.000
0.000 4.644 0.000
0.000 0.000 4.644
Co Pb Te
2 1 1
Direct
0.000 0.000 0.000
0.000 0.500 0.500
0.500 0.500 0.000
0.500 0.000 0.500